VASP calculation (PBE) on crystalline TlCd2Ru at its relaxed geometry.

a = 3.145 Å, b = 3.145 Å, c = 8.788 Å
α = 90.00°, β = 90.00°, γ = 90.00°
Element x y z (fractional)
Tl  0.000  0.000  0.000
Cd  0.500  0.500  0.301
Cd  0.500  0.500  0.699
Ru  0.000  0.000  0.500

## Properties
energy relative to the elements	0.30	eV/atom
total magnetic moment	0.84	μB/f.u.
SG	P4/mmm (123)

VASP calculation (PBE) on crystalline TlCdRu at its relaxed geometry.

a = 3.128 Å, b = 3.128 Å, c = 7.212 Å
α = 90.00°, β = 90.00°, γ = 120.00°
Element x y z (fractional)
Tl  0.000  0.000  0.000
Cd  0.667  0.333  0.393
Ru  0.333  0.667  0.693

## Properties
energy relative to the elements	0.52	eV/atom
total magnetic moment	0.48	μB/f.u.
SG	P3m1 (156)

VASP calculation (PBE) on crystalline Tl2CdRu at its relaxed geometry.

a = 3.478 Å, b = 4.676 Å, c = 5.301 Å
α = 90.00°, β = 90.00°, γ = 90.00°
Element x y z (fractional)
Tl  0.000  0.000  0.000
Tl  0.500  0.000  0.500
Cd  0.000  0.500  0.500
Ru  0.500  0.500  0.000

## Properties
energy relative to the elements	0.55	eV/atom
total magnetic moment	0.00	μB/f.u.
SG	Pmmm (47)

VASP calculation (PBE) on crystalline Tl2CdRu at its relaxed geometry.

a = 5.032 Å, b = 5.032 Å, c = 3.421 Å
α = 90.00°, β = 90.00°, γ = 102.71°
Element x y z (fractional)
Tl  0.000  0.500  0.000
Tl  0.500  0.000  0.000
Cd  0.000  0.000  0.500
Ru  0.500  0.500  0.500

## Properties
energy relative to the elements	0.54	eV/atom
total magnetic moment	0.00	μB/f.u.
SG	Cmmm (65)

VASP calculation (PBE) on crystalline TlCd2Ru at its relaxed geometry.

a = 5.570 Å, b = 5.570 Å, c = 5.570 Å
α = 137.26°, β = 137.26°, γ = 62.04°
Element x y z (fractional)
Tl  0.000  0.000  0.000
Cd  0.250  0.750  0.500
Cd  0.750  0.250  0.500
Ru  0.500  0.500  0.000

## Properties
energy relative to the elements	0.31	eV/atom
total magnetic moment	0.23	μB/f.u.
SG	I4/mmm (139)

VASP calculation (PBE) on crystalline TlCd2Ru at its relaxed geometry.

a = 9.908 Å, b = 9.908 Å, c = 9.908 Å
α = 18.39°, β = 18.39°, γ = 18.39°
Element x y z (fractional)
Tl  0.000  0.000  0.000
Cd  0.240  0.240  0.240
Cd  0.760  0.760  0.760
Ru  0.500  0.500  0.500

## Properties
energy relative to the elements	0.39	eV/atom
total magnetic moment	0.89	μB/f.u.
SG	R-3m (166)